No. 1
DFT (PBE) results for LiTm3Sc3Se8 after structural relaxation.

extended XYZ file:
```
15
Lattice="3.9194 2.2629 6.4177 -3.9194 2.2629 6.4177 0.0000 -4.5257 6.4177" Properties=species:S:1:pos:R:3 pbc="T T T"
Li 0.0000 0.0000 0.0000
Tm -3.9194 0.0000 9.6265
Tm -1.9597 1.1314 3.2088
Tm 1.9597 1.1314 3.2088
Sc -1.9597 -1.1314 6.4177
Sc -1.9597 1.1314 12.8354
Sc 0.0000 2.2629 6.4177
Se 0.0000 -2.2388 7.9752
Se -1.9389 1.1194 7.9752
Se 0.0000 0.0000 4.8799
Se -1.9389 -1.1194 11.2779
Se 1.9389 1.1194 7.9752
Se 0.0000 0.0000 14.3732
Se 1.9389 -1.1194 11.2779
Se 0.0000 2.2388 11.2779
```

Results
- total DFT energy (no corrections) (eV per formula unit) = -87.5
- total magnetic moment (μB per cell) = 0.000
- crystal system = trigonal
- uncorrected formation energy (eV/atom) = -1.688

=====

No. 2
DFT (PBE) results for TbCe2Ge3Ir4 after structural relaxation.

extended XYZ file:
```
10
Lattice="4.1645 0.0000 0.0000 0.0000 4.1645 0.0000 0.0000 0.0000 11.3762" Properties=species:S:1:pos:R:3 pbc="T T T"
Tb 0.0000 0.0000 0.0000
Ce 0.0000 2.0823 8.3108
Ce 2.0823 0.0000 3.0655
Ge 0.0000 2.0823 4.3105
Ge 2.0823 0.0000 7.0657
Ge 2.0823 2.0823 0.0000
Ir 0.0000 0.0000 5.6881
Ir 0.0000 2.0823 1.8607
Ir 2.0823 0.0000 9.5156
Ir 2.0823 2.0823 5.6881
```

Results
- total DFT energy (no corrections) (eV per formula unit) = -73.5
- total magnetic moment (μB per cell) = 1.378
- ΔH_f (0 K) (eV/atom) = -0.7692
- crystal system = tetragonal

=====

No. 3
DFT (PBE) results for UTaIr2 after structural relaxation.

extended XYZ file:
```
4
Lattice="2.9305 0.0000 0.0000 0.0000 2.9305 0.0000 0.0000 0.0000 8.0036" Properties=species:S:1:pos:R:3 pbc="T T T"
U 0.0000 0.0000 0.0000
Ta 0.0000 0.0000 4.0018
Ir 1.4653 1.4653 2.0851
Ir 1.4653 1.4653 5.9185
```

Results
- total DFT energy (no corrections) (eV per formula unit) = -42.7
- ΔE to the lowest computed polymorph (eV/atom) = 0.000
- total magnetic moment (μB per cell) = 0.001
- ΔH_f (0 K) (eV/atom) = -0.4696
- crystal system = tetragonal

=====

No. 4
DFT (PBE) results for KAl2Rh2 after structural relaxation.

extended XYZ file:
```
10
Lattice="7.6884 0.0000 0.0000 0.0000 7.6884 0.0000 0.0000 0.0000 2.8807" Properties=species:S:1:pos:R:3 pbc="T T T"
K 0.0000 0.0000 0.0000
K 3.8442 3.8442 0.0000
Al 1.0534 2.7908 1.4404
Al 2.7908 6.6350 1.4404
Al 4.8976 1.0534 1.4404
Al 6.6350 4.8976 1.4404
Rh 1.1178 4.9620 0.0000
Rh 2.7264 1.1178 0.0000
Rh 4.9620 6.5705 0.0000
Rh 6.5705 2.7264 0.0000
```

Results
- total DFT energy (no corrections) (eV per formula unit) = -25.4
- ΔE to the lowest computed polymorph (eV/atom) = 0.000
- total magnetic moment (μB per cell) = 0.000
- ΔH_f (0 K) (eV/atom) = -0.4326
- crystal system = tetragonal

=====

No. 5
DFT (PBE) results for Ba2Sn3BiAu4 after structural relaxation.

extended XYZ file:
```
10
Lattice="4.9244 0.0000 0.0000 0.0000 4.9244 0.0000 0.0000 0.0000 11.4725" Properties=species:S:1:pos:R:3 pbc="T T T"
Ba 0.0000 2.4622 2.7311
Ba 2.4622 0.0000 8.7413
Sn 0.0000 2.4622 10.0922
Sn 2.4622 0.0000 1.3803
Sn 2.4622 2.4622 5.7362
Bi 0.0000 0.0000 5.7362
Au 0.0000 0.0000 0.0000
Au 0.0000 2.4622 7.3501
Au 2.4622 0.0000 4.1223
Au 2.4622 2.4622 0.0000
```

Results
- total DFT energy (no corrections) (eV per formula unit) = -38.7
- total magnetic moment (μB per cell) = 0.000
- ΔH_f (0 K) (eV/atom) = -0.5846
- crystal system = tetragonal

=====

No. 6
DFT (PBE) results for Tm3TcO after structural relaxation.

extended XYZ file:
```
5
Lattice="4.5934 0.0000 0.0000 0.0000 4.5934 0.0000 0.0000 0.0000 4.5934" Properties=species:S:1:pos:R:3 pbc="T T T"
Tm 0.0000 0.0000 2.2967
Tm 0.0000 2.2967 0.0000
Tm 2.2967 0.0000 0.0000
Tc 2.2967 2.2967 2.2967
O 0.0000 0.0000 0.0000
```

Results
- total DFT energy (no corrections) (eV per formula unit) = -34.3
- total magnetic moment (μB per cell) = 0.001
- crystal system = cubic
- uncorrected formation energy (eV/atom) = -1.118

=====

No. 7
DFT (PBE) results for KBa9Sr2 after structural relaxation.

extended XYZ file:
```
12
Lattice="6.3426 0.0000 0.0000 0.0000 6.3426 0.0000 0.0000 0.0000 19.0558" Properties=species:S:1:pos:R:3 pbc="T T T"
K 0.0000 0.0000 0.0000
Ba 0.0000 3.1713 3.2955
Ba 0.0000 3.1713 9.5279
Ba 0.0000 3.1713 15.7603
Ba 3.1713 0.0000 3.2955
Ba 3.1713 0.0000 9.5279
Ba 3.1713 0.0000 15.7603
Ba 3.1713 3.1713 0.0000
Ba 3.1713 3.1713 6.4053
Ba 3.1713 3.1713 12.6504
Sr 0.0000 0.0000 6.4250
Sr 0.0000 0.0000 12.6308
```

Results
- total DFT energy (no corrections) (eV per formula unit) = -21.2
- total magnetic moment (μB per cell) = 0.000
- ΔH_f (0 K) (eV/atom) = 0.0440
- crystal system = tetragonal

=====

No. 8
DFT (PBE) results for PaGa3Fe after structural relaxation.

extended XYZ file:
```
10
Lattice="3.2369 -4.6967 0.0000 3.2369 4.6967 0.0000 0.0000 0.0000 5.8039" Properties=species:S:1:pos:R:3 pbc="T T T"
Pa 3.2369 2.6695 4.3529
Pa 3.2369 -2.6695 1.4510
Ga 3.2369 1.8983 1.4510
Ga 1.9334 0.0000 0.0000
Ga 1.9334 0.0000 2.9020
Ga 4.5404 0.0000 0.0000
Ga 4.5404 0.0000 2.9020
Ga 3.2369 -1.8983 4.3529
Fe 3.2369 4.3671 1.4510
Fe 3.2369 -4.3671 4.3529
```

Results
- total DFT energy (no corrections) (eV per formula unit) = -28.6
- ΔE to the lowest computed polymorph (eV/atom) = 0.000
- total magnetic moment (μB per cell) = 0.000
- ΔH_f (0 K) (eV/atom) = -0.3217
- crystal system = orthorhombic

=====

No. 9
DFT (PBE) results for Y2Zn3Cu12Pd after structural relaxation.

extended XYZ file:
```
18
Lattice="3.0564 1.7646 9.0935 -3.0564 1.7646 9.0935 0.0000 -3.5292 9.0935" Properties=species:S:1:pos:R:3 pbc="T T T"
Y 0.0000 0.0000 3.9928
Y 0.0000 0.0000 23.2876
Zn -1.5282 -0.8823 9.0935
Zn -1.5282 0.8823 18.1869
Zn 0.0000 1.7646 9.0935
Cu 0.0000 -2.1574 7.7709
Cu -1.8683 1.0787 7.7709
Cu -1.4339 -0.8279 11.7583
Cu -1.8683 -1.0787 19.5095
Cu 0.0000 -1.6558 15.5221
Cu -1.4339 0.8279 15.5221
Cu 1.4339 -0.8279 11.7583
Cu 0.0000 1.6558 11.7583
Cu 1.8683 1.0787 7.7709
Cu 1.4339 0.8279 15.5222
Cu 1.8683 -1.0787 19.5095
Cu 0.0000 2.1574 19.5095
Pd 0.0000 0.0000 13.6402
```

Results
- total DFT energy (no corrections) (eV per formula unit) = -69.3
- total magnetic moment (μB per cell) = 0.000
- ΔH_f (0 K) (eV/atom) = 0.0975
- crystal system = trigonal

=====

No. 10
DFT (PBE) results for BaCS after structural relaxation.

extended XYZ file:
```
12
Lattice="8.6196 0.0000 0.0000 0.0000 5.9494 0.0000 -0.1071 0.0000 6.4165" Properties=species:S:1:pos:R:3 pbc="T T T"
Ba 0.0000 0.0000 0.0000
Ba 1.3297 2.9747 3.2266
Ba 4.3098 2.9747 0.0000
Ba 5.6395 0.0000 3.2266
C 0.1144 2.9747 6.1290
C 1.3524 2.9747 0.2814
C 4.4242 0.0000 6.1290
C 5.6622 0.0000 0.2814
S 0.1637 0.0000 3.1038
S 3.0040 0.0000 5.2396
S 4.4735 2.9747 3.1038
S 7.3138 2.9747 5.2396
```

Results
- total DFT energy (no corrections) (eV per formula unit) = -17.7
- ΔE to the lowest computed polymorph (eV/atom) = 0.014
- total magnetic moment (μB per cell) = 0.000
- crystal system = monoclinic
- uncorrected formation energy (eV/atom) = -0.822

=====

No. 11
DFT (PBE) results for Nb2AsPb after structural relaxation.

extended XYZ file:
```
16
Lattice="6.7321 0.0000 0.0000 0.0000 6.7321 0.0000 0.0000 0.0000 6.7321" Properties=species:S:1:pos:R:3 pbc="T T T"
Nb 1.6830 1.6830 1.6830
Nb 1.6830 1.6830 5.0491
Nb 1.6830 5.0491 1.6830
Nb 1.6830 5.0491 5.0491
Nb 5.0491 1.6830 1.6830
Nb 5.0491 1.6830 5.0491
Nb 5.0491 5.0491 1.6830
Nb 5.0491 5.0491 5.0491
As 0.0000 0.0000 0.0000
As 0.0000 3.3661 3.3661
As 3.3661 0.0000 3.3661
As 3.3661 3.3661 0.0000
Pb 0.0000 0.0000 3.3661
Pb 0.0000 3.3661 0.0000
Pb 3.3661 0.0000 0.0000
Pb 3.3661 3.3661 3.3661
```

Results
- total DFT energy (no corrections) (eV per formula unit) = -27.9
- ΔE to the lowest computed polymorph (eV/atom) = 0.000
- total magnetic moment (μB per cell) = 0.000
- ΔH_f (0 K) (eV/atom) = 0.1505
- crystal system = cubic

=====

No. 12
DFT (PBE) results for SrHgPbF6 after structural relaxation.

extended XYZ file:
```
18
Lattice="6.3231 0.0000 0.0000 -3.1616 5.4760 0.0000 0.0000 0.0000 9.8553" Properties=species:S:1:pos:R:3 pbc="T T T"
Sr 0.0000 3.6507 2.4638
Sr 3.1616 1.8253 7.3915
Hg 0.0000 3.6507 7.3915
Hg 3.1616 1.8253 2.4638
Pb 0.0000 0.0000 0.0000
Pb 0.0000 0.0000 4.9277
F -1.0092 1.8657 6.2281
F -2.0504 3.6691 8.5549
F 1.0092 1.8657 8.5549
F -1.0412 5.4172 6.2281
F 2.1204 0.0588 1.3004
F 1.1111 1.8069 3.6273
F 2.0504 3.6691 6.2281
F 1.0412 5.4172 8.5549
F 4.2028 0.0588 3.6273
F 2.1523 3.6103 1.3004
F 5.2120 1.8069 1.3004
F 4.1708 3.6103 3.6273
```

Results
- total DFT energy (no corrections) (eV per formula unit) = -39.7
- total magnetic moment (μB per cell) = 0.000
- crystal system = trigonal
- uncorrected formation energy (eV/atom) = -2.534

=====

No. 13
DFT (PBE) results for Pm2TmSe4 after structural relaxation.

extended XYZ file:
```
14
Lattice="-4.1145 4.1577 5.7406 4.1145 -4.1577 5.7406 4.1145 4.1577 -5.7406" Properties=species:S:1:pos:R:3 pbc="T T T"
Pm 0.0000 0.0000 0.0000
Pm -2.0573 2.0788 2.8703
Pm 0.0000 4.1577 0.0000
Pm 2.0573 2.0788 2.8703
Tm 2.0573 2.0788 -2.8703
Tm 2.0573 -2.0788 2.8703
Se 4.1145 -0.0772 2.7746
Se 2.0742 2.0788 -0.0549
Se 6.1548 2.0788 -0.0549
Se 4.1145 4.0805 -2.7746
Se 0.0000 0.0772 8.5152
Se -2.0403 2.0788 5.7956
Se 2.0403 2.0788 5.7956
Se 0.0000 4.2348 2.9661
```

Results
- total DFT energy (no corrections) (eV per formula unit) = -40.9
- ΔE to the lowest computed polymorph (eV/atom) = 0.000
- total magnetic moment (μB per cell) = 0.000
- crystal system = orthorhombic
- uncorrected formation energy (eV/atom) = -1.855

=====

No. 14
DFT (PBE) results for ZrCrPt3 after structural relaxation.

extended XYZ file:
```
5
Lattice="4.9443 0.0000 0.0000 0.0000 4.9443 0.0000 0.0000 0.0000 4.9443" Properties=species:S:1:pos:R:3 pbc="T T T"
Zr 0.0000 0.0000 0.0000
Cr 2.4722 2.4722 2.4722
Pt 0.0000 0.0000 2.4722
Pt 0.0000 2.4722 0.0000
Pt 2.4722 0.0000 0.0000
```

Results
- total DFT energy (no corrections) (eV per formula unit) = -32.2
- ΔE to the lowest computed polymorph (eV/atom) = 0.444
- total magnetic moment (μB per cell) = 4.039
- ΔH_f (0 K) (eV/atom) = 0.8272
- crystal system = cubic

=====

No. 15
DFT (PBE) results for Zn4Rh after structural relaxation.

extended XYZ file:
```
10
Lattice="6.1964 0.0000 0.0000 0.0000 6.1964 0.0000 0.0000 0.0000 3.7024" Properties=species:S:1:pos:R:3 pbc="T T T"
Zn 0.6333 4.3726 0.0000
Zn 1.2744 2.4649 1.8512
Zn 1.8238 0.6333 0.0000
Zn 2.4649 4.9219 1.8512
Zn 3.7315 1.2744 1.8512
Zn 4.3726 5.5630 0.0000
Zn 4.9219 3.7315 1.8512
Zn 5.5630 1.8238 0.0000
Rh 0.0000 0.0000 1.8512
Rh 3.0982 3.0982 0.0000
```

Results
- total DFT energy (no corrections) (eV per formula unit) = -13.7
- total magnetic moment (μB per cell) = 0.000
- ΔH_f (0 K) (eV/atom) = -0.2571
- crystal system = tetragonal

=====

No. 16
DFT (PBE) results for Li2Cu3Rh2 after structural relaxation.

extended XYZ file:
```
7
Lattice="2.6346 0.0000 0.0000 1.3096 4.3584 0.0000 0.0105 0.7199 7.9281" Properties=species:S:1:pos:R:3 pbc="T T T"
Li 0.6617 0.5887 2.7327
Li 3.2930 4.4897 5.1954
Cu 1.9821 4.1008 7.4343
Cu 1.9773 2.5392 3.9640
Cu 1.9726 0.9776 0.4937
Rh 0.6652 2.1504 6.1688
Rh 3.2894 2.9280 1.7593
```

Results
- total DFT energy (no corrections) (eV per formula unit) = -31.2
- ΔE to the lowest computed polymorph (eV/atom) = 0.000
- total magnetic moment (μB per cell) = 0.153
- ΔH_f (0 K) (eV/atom) = -0.0507
- crystal system = triclinic

=====

No. 17
DFT (PBE) results for LiLa2PuTe5 after structural relaxation.

extended XYZ file:
```
18
Lattice="2.2535 -9.4441 0.0000 2.2535 9.4441 0.0000 0.0000 0.0000 13.3032" Properties=species:S:1:pos:R:3 pbc="T T T"
Li 2.2535 8.3731 6.6516
Li 2.2535 -8.3731 0.0000
La 2.2535 2.3591 4.5584
La 2.2535 2.0368 9.6149
La 2.2535 -2.0368 2.9633
La 2.2535 -2.3591 11.2100
Pu 2.2535 3.7839 0.6141
Pu 2.2535 -3.7839 7.2657
Te 2.2535 9.4131 10.8578
Te 2.2535 6.8956 0.5005
Te 2.2535 5.8809 5.1156
Te 2.2535 5.4283 9.3878
Te 2.2535 0.8942 1.4295
Te 2.2535 -0.8942 8.0811
Te 2.2535 -5.4283 2.7362
Te 2.2535 -5.8809 11.7673
Te 2.2535 -6.8956 7.1521
Te 2.2535 -9.4131 4.2062
```

Results
- total DFT energy (no corrections) (eV per formula unit) = -53.5
- total magnetic moment (μB per cell) = 10.002
- crystal system = orthorhombic
- uncorrected formation energy (eV/atom) = -1.299

=====

No. 18
DFT (PBE) results for Mg3UO6 after structural relaxation.

extended XYZ file:
```
10
Lattice="2.6716 1.5425 4.7902 -2.6716 1.5425 4.7902 0.0000 -3.0849 4.7902" Properties=species:S:1:pos:R:3 pbc="T T T"
Mg 0.0000 0.0000 0.0000
Mg 0.0000 0.0000 2.9701
Mg 0.0000 0.0000 7.1069
U 0.0000 0.0000 10.0890
O -0.8315 -1.6884 6.2908
O -1.6009 0.0082 8.7227
O -1.0464 1.5643 6.2908
O 0.7934 -1.3905 8.7227
O 1.8779 0.1240 6.2908
O 0.8075 1.3824 8.7227
```

Results
- total DFT energy (no corrections) (eV per formula unit) = -74.4
- total magnetic moment (μB per cell) = 0.000
- crystal system = trigonal
- uncorrected formation energy (eV/atom) = -2.857

=====

No. 19
DFT (PBE) results for V6IrRh5 after structural relaxation.

extended XYZ file:
```
12
Lattice="-1.9379 3.6480 5.8444 1.9379 -3.6480 5.8444 1.9379 3.6480 -5.8444" Properties=species:S:1:pos:R:3 pbc="T T T"
V 1.9379 1.8221 -1.9415
V 0.0000 1.8194 0.0000
V 1.9379 1.8221 1.9415
V 0.0000 1.8260 3.9029
V 0.0000 5.4767 0.0000
V 0.0000 1.8260 7.7859
Ir 1.9379 0.0000 0.0000
Rh 0.0000 0.0000 1.9619
Rh 1.9379 0.0000 3.9004
Rh 0.0000 0.0000 5.8444
Rh 0.0000 3.6480 1.9440
Rh 0.0000 0.0000 9.7269
```

Results
- total DFT energy (no corrections) (eV per formula unit) = -105.0
- total magnetic moment (μB per cell) = 0.000
- ΔH_f (0 K) (eV/atom) = -0.3930
- crystal system = orthorhombic

=====

No. 20
DFT (PBE) results for YSbRu2 after structural relaxation.

extended XYZ file:
```
16
Lattice="6.7449 0.0000 0.0000 0.0000 6.7449 0.0000 0.0000 0.0000 6.7449" Properties=species:S:1:pos:R:3 pbc="T T T"
Y 0.0000 0.0000 0.0000
Y 0.0000 3.3725 3.3725
Y 3.3725 0.0000 3.3725
Y 3.3725 3.3725 0.0000
Sb 1.6862 1.6862 5.0587
Sb 1.6862 5.0587 1.6862
Sb 5.0587 1.6862 1.6862
Sb 5.0587 5.0587 5.0587
Ru 0.0000 0.0000 3.3725
Ru 0.0000 3.3725 0.0000
Ru 1.6862 1.6862 1.6862
Ru 1.6862 5.0587 5.0587
Ru 3.3725 0.0000 0.0000
Ru 3.3725 3.3725 3.3725
Ru 5.0587 1.6862 5.0587
Ru 5.0587 5.0587 1.6862
```

Results
- total DFT energy (no corrections) (eV per formula unit) = -28.5
- total magnetic moment (μB per cell) = 11.225
- crystal system = cubic
- uncorrected formation energy (eV/atom) = 0.147